# 1
! YCr2Cu SCAN single point on PBEsol structure; values from VASP
! calculated volume	16.85	Å³ per atom
! density	6.316	g/cm³
! ΔE to the lowest computed polymorph	28	meV/atom
! ΔE_f	326	meV per atom
! energy	-19.63	eV per atom
! total moment	8.19	Bohr magnetons per cell
&SYSTEM
  ibrav = 0, nat = 4, ntyp = 3
/
ATOMIC_SPECIES
Y 88.91 Y.upf
Cr 52.00 Cr.upf
Cu 63.55 Cu.upf
ATOMIC_POSITIONS crystal
Y 0.0000 0.0000 0.0000
Cr 0.2500 0.2500 0.2500
Cr 0.7500 0.7500 0.7500
Cu 0.5000 0.5000 0.5000
CELL_PARAMETERS angstrom
0.0000 3.2304 3.2304
3.2304 0.0000 3.2304
3.2304 3.2304 0.0000

=====

# 2
! YCr2Cu SCAN single point on PBEsol structure; values from VASP
! calculated volume	16.56	Å³ per atom
! density	6.430	g/cm³
! ΔE to the lowest computed polymorph	382	meV/atom
! ΔE_f	681	meV per atom
! energy	-19.27	eV per atom
! total moment	0.00	Bohr magnetons per cell
&SYSTEM
  ibrav = 0, nat = 4, ntyp = 3
/
ATOMIC_SPECIES
Y 88.91 Y.upf
Cr 52.00 Cr.upf
Cu 63.55 Cu.upf
ATOMIC_POSITIONS crystal
Y 0.0000 0.0000 0.0000
Cr 0.4152 0.5000 0.7781
Cr 0.5848 0.5000 0.2219
Cu 0.5000 0.0000 0.5000
CELL_PARAMETERS angstrom
3.3628 0.0000 0.0000
0.0000 4.6384 0.0000
-0.4360 0.0000 4.2458

=====

# 3
! ZnCrCu SCAN single point on PBEsol structure; values from VASP
! calculated volume	12.31	Å³ per atom
! density	8.138	g/cm³
! ΔE_f	167	meV per atom
! energy	-15.53	eV per atom
! total moment	2.72	Bohr magnetons per cell
&SYSTEM
  ibrav = 0, nat = 3, ntyp = 3
/
ATOMIC_SPECIES
Zn 65.41 Zn.upf
Cr 52.00 Cr.upf
Cu 63.55 Cu.upf
ATOMIC_POSITIONS crystal
Zn 0.0000 0.0000 0.0000
Cr 0.3333 0.6667 0.5000
Cu 0.6667 0.3333 0.0000
CELL_PARAMETERS angstrom
4.1867 0.0000 0.0000
-2.0933 3.6258 0.0000
0.0000 0.0000 2.4323

=====

# 4
! Zn3CrCu SCAN single point on PBEsol structure; values from VASP
! calculated volume	20.54	Å³ per atom
! density	5.040	g/cm³
! ΔE_f	1037	meV per atom
! energy	-13.79	eV per atom
! total moment	4.30	Bohr magnetons per cell
&SYSTEM
  ibrav = 0, nat = 5, ntyp = 3
/
ATOMIC_SPECIES
Zn 65.41 Zn.upf
Cr 52.00 Cr.upf
Cu 63.55 Cu.upf
ATOMIC_POSITIONS crystal
Zn 0.0000 0.0000 0.5000
Zn 0.0000 0.5000 0.0000
Zn 0.5000 0.0000 0.0000
Cr 0.0000 0.0000 0.0000
Cu 0.5000 0.5000 0.5000
CELL_PARAMETERS angstrom
4.6833 0.0000 0.0000
0.0000 4.6833 0.0000
0.0000 0.0000 4.6833

=====

# 5
! ZrCrCu2 SCAN single point on PBEsol structure; values from VASP
! calculated volume	14.23	Å³ per atom
! density	7.886	g/cm³
! ΔE to the lowest computed polymorph	146	meV/atom
! ΔE_f	84	meV per atom
! energy	-19.79	eV per atom
! total moment	3.19	Bohr magnetons per cell
&SYSTEM
  ibrav = 0, nat = 4, ntyp = 3
/
ATOMIC_SPECIES
Zr 91.22 Zr.upf
Cr 52.00 Cr.upf
Cu 63.55 Cu.upf
ATOMIC_POSITIONS crystal
Zr 0.0000 0.0000 0.0000
Cr 0.0000 0.0000 0.5000
Cu 0.5000 0.5000 0.2776
Cu 0.5000 0.5000 0.7224
CELL_PARAMETERS angstrom
2.7713 0.0000 0.0000
0.0000 3.7638 0.0000
0.0000 0.0000 5.4571

=====

# 6
! ZrCr2Cu SCAN single point on PBEsol structure; values from VASP
! calculated volume	13.96	Å³ per atom
! density	7.695	g/cm³
! ΔE to the lowest computed polymorph	69	meV/atom
! ΔE_f	349	meV per atom
! energy	-20.32	eV per atom
! total moment	6.58	Bohr magnetons per cell
&SYSTEM
  ibrav = 0, nat = 4, ntyp = 3
/
ATOMIC_SPECIES
Zr 91.22 Zr.upf
Cr 52.00 Cr.upf
Cu 63.55 Cu.upf
ATOMIC_POSITIONS crystal
Zr 0.0000 0.0000 0.0000
Cr 0.2500 0.2500 0.2500
Cr 0.7500 0.7500 0.7500
Cu 0.5000 0.5000 0.5000
CELL_PARAMETERS angstrom
0.0000 3.0337 3.0337
3.0337 0.0000 3.0337
3.0337 3.0337 0.0000

=====

# 7
! ZrCrCu2 SCAN single point on PBEsol structure; values from VASP
! calculated volume	14.38	Å³ per atom
! density	7.805	g/cm³
! ΔE to the lowest computed polymorph	91	meV/atom
! ΔE_f	29	meV per atom
! energy	-19.84	eV per atom
! total moment	3.41	Bohr magnetons per cell
&SYSTEM
  ibrav = 0, nat = 4, ntyp = 3
/
ATOMIC_SPECIES
Zr 91.22 Zr.upf
Cr 52.00 Cr.upf
Cu 63.55 Cu.upf
ATOMIC_POSITIONS crystal
Zr 0.0000 0.0000 0.0000
Cr 0.7500 0.2500 0.5000
Cu 0.2500 0.7500 0.5000
Cu 0.5000 0.5000 0.0000
CELL_PARAMETERS angstrom
-1.9075 1.9075 3.9514
1.9075 -1.9075 3.9514
1.9075 1.9075 -3.9514

=====

# 8
! ZrCrCu2 SCAN single point on PBEsol structure; values from VASP
! calculated volume	14.88	Å³ per atom
! density	7.540	g/cm³
! ΔE to the lowest computed polymorph	0	meV/atom
! ΔE_f	-62	meV per atom
! energy	-19.93	eV per atom
! total moment	4.37	Bohr magnetons per cell
&SYSTEM
  ibrav = 0, nat = 4, ntyp = 3
/
ATOMIC_SPECIES
Zr 91.22 Zr.upf
Cr 52.00 Cr.upf
Cu 63.55 Cu.upf
ATOMIC_POSITIONS crystal
Zr 0.0000 0.0000 0.0000
Cr 0.5000 0.5000 0.5000
Cu 0.2500 0.2500 0.2500
Cu 0.7500 0.7500 0.7500
CELL_PARAMETERS angstrom
0.0000 3.0990 3.0990
3.0990 0.0000 3.0990
3.0990 3.0990 0.0000